First-principles (PBE) data for a relaxed Zr2Nb crystal, as listed in OQMD via LeMat-Bulk.

Summary:
Crystal system   hexagonal
Total DFT energy (no corrections)   -8.89 eV/atom
Spin magnetization   0.00 Bohr magnetons per cell
Formation enthalpy at 0 K   3.89 kcal/mol of atoms
Calculated volume   21.59 Å³ per atom
Theoretical density   7.06 g cm⁻³

Unit cell a=5.3761 b=5.3761 c=5.1763 alpha=90.00 beta=90.00 gamma=120.00
Space group P-62m (No. 189)
Inequivalent atoms, fractional coordinates:
Zr: 0.0000 0.0000 0.0000 (multiplicity 1)
Zr: 0.0000 0.3478 0.5000 (multiplicity 3)
Nb: 0.3333 0.6667 0.0000 (multiplicity 2)